Entry 1:
Crystalline BaLiLa2 at its relaxed geometry, computed with GGA-PBE.

Output
excess energy over the best structure of this formula in the dataset: 0.0000 eV per atom
electronic total energy: -0.2448 Ry per atom
mass density: 4.60 g/cm3
E_form: 0.092 eV/atom
total moment: 0.0 μB per cell

Lattice parameters (Å, degrees): 3.9244 3.9244 9.8928 90.00 90.00 90.00
Last column: nearest neighbours and their distance in Å.
Fractional coordinates of all 4 atoms:
Ba  0.0000  0.0000  0.0000  4 Li 3.71, 4 Ba 3.92
Li  0.5000  0.5000  0.7514  4 La 3.40, 4 Ba 3.71
La  0.0000  0.0000  0.5532  4 Li 3.40, 4 La 3.62
La  0.5000  0.5000  0.3177  8 La 3.62-3.92

=====

Entry 2:
Crystalline BeZn2PbO4 at its relaxed geometry, computed with GGA-PBE.

Output
raw formation energy: -12.221 eV/f.u.
electronic total energy: -0.3862 Ry per atom
mass density: 6.95 g/cm3
total moment: 0.0 μB per cell

Lattice parameters (Å, degrees): 5.3096 5.3096 5.3096 124.26 124.26 82.77
Last column: nearest neighbours and their distance in Å.
Fractional coordinates of all 8 atoms:
Be  0.0000  0.0000  0.0000  4 O 1.68
Zn  0.2500  0.7500  0.5000  4 O 2.04
Zn  0.7500  0.2500  0.5000  4 O 2.04
Pb  0.5000  0.5000  0.0000  4 O 2.42
O  0.0573  0.6808  0.0000  1 Be 1.68
O  0.3192  0.3192  0.3765  1 Be 1.68
O  0.6808  0.0573  0.0000  1 Be 1.68
O  0.9427  0.9427  0.6235  1 Be 1.68

=====

Entry 3:
Crystalline SnPd14Au at its relaxed geometry, computed with GGA-PBE.

Output
electronic total energy: -0.3754 Ry per atom
mass density: 11.82 g/cm3
E_form: -0.109 eV/atom
total moment: 0.0 μB per cell

Lattice parameters (Å, degrees): 9.2291 5.6110 5.6110 60.80 90.00 90.00
Last column: nearest neighbours and their distance in Å.
Fractional coordinates of all 16 atoms:
Sn  0.0000  0.0000  0.0000  10 Pd 2.80-2.83, 2 Au 2.84
Pd  0.0000  0.0009  0.4992  2 Au 2.80-2.81, 2 Sn 2.80-2.81, 8 Pd 2.83-2.85
Pd  0.0000  0.4992  0.0009  2 Au 2.80-2.81, 2 Sn 2.80-2.81, 8 Pd 2.83-2.85
Pd  0.2510  0.8314  0.8314  11 Pd 2.80-2.84, 1 Sn 2.83
Pd  0.2519  0.3305  0.8327  10 Pd 2.80-2.85, 1 Sn 2.83, 1 Au 2.84
Pd  0.2519  0.8327  0.3305  10 Pd 2.80-2.85, 1 Sn 2.83, 1 Au 2.84
Pd  0.2533  0.3309  0.3309  11 Pd 2.80-2.84, 1 Au 2.85
Pd  0.5000  0.1622  0.6625  12 Pd 2.80-2.84
Pd  0.5000  0.1626  0.1626  12 Pd 2.80-2.84
Pd  0.5000  0.6625  0.1622  12 Pd 2.80-2.84
Pd  0.5000  0.6624  0.6624  12 Pd 2.80-2.84
Pd  0.7467  0.3309  0.3309  11 Pd 2.80-2.84, 1 Au 2.85
Pd  0.7481  0.3305  0.8327  10 Pd 2.80-2.85, 1 Sn 2.83, 1 Au 2.84
Pd  0.7481  0.8327  0.3305  10 Pd 2.80-2.85, 1 Sn 2.83, 1 Au 2.84
Pd  0.7490  0.8314  0.8314  11 Pd 2.80-2.84, 1 Sn 2.83
Au  0.0000  0.4996  0.4996  10 Pd 2.80-2.85, 2 Sn 2.84